1.
A plane-wave DFT calculation with GGA-PBE was carried out for a relaxed Pm8Zn2Pd crystal.

extended XYZ file:
```
11
Lattice="9.089 -2.594 0.000 9.089 2.594 0.000 -1.379 0.000 6.719" Properties=species:S:1:pos:R:3 pbc="T T T"
Pm 0.115 0.000 1.838
Pm 2.537 0.000 5.502
Pm 5.456 0.000 3.603
Pm 7.370 0.000 0.345
Pm 9.428 0.000 6.374
Pm 11.343 0.000 3.117
Pm 14.262 0.000 1.217
Pm 16.684 0.000 4.881
Zn 3.165 0.000 1.637
Zn 13.634 0.000 5.082
Pd 8.399 0.000 3.360
```

Computed properties:
- size of the total moment (μB per formula unit) = 0.00
- density (g/cm3) = 7.32
- DFT formation energy (eV/atom) = -0.22
- DFT total energy (eV per formula unit) = -48.1
- calculated volume (Å³/f.u.) = 317

---

2.
A plane-wave DFT calculation with GGA-PBE was carried out for a relaxed Ti2GeBW crystal.

extended XYZ file:
```
5
Lattice="4.737 0.000 0.000 0.000 4.737 0.000 0.000 0.000 3.641" Properties=species:S:1:pos:R:3 pbc="T T T"
Ti 0.000 2.369 0.000
Ti 2.369 0.000 0.000
Ge 0.000 0.000 0.000
B 0.000 0.000 1.821
W 2.369 2.369 1.821
```

Computed properties:
- size of the total moment (μB per formula unit) = 0.00
- density (g/cm3) = 7.38
- DFT formation energy (eV/atom) = 1.07
- DFT total energy (eV per formula unit) = -34.7
- calculated volume (Å³/f.u.) = 82

---

3.
A plane-wave DFT calculation with GGA-PBE was carried out for a relaxed YTi2Hg2 crystal.

extended XYZ file:
```
5
Lattice="-2.036 2.036 6.816 2.036 -2.036 6.816 2.036 2.036 -6.816" Properties=species:S:1:pos:R:3 pbc="T T T"
Y 0.000 0.000 0.000
Ti 2.036 0.000 3.408
Ti 0.000 2.036 3.408
Hg 0.000 0.000 5.397
Hg 0.000 0.000 8.235
```

Computed properties:
- ΔE to the lowest computed polymorph (eV per atom) = 0.000
- size of the total moment (μB per formula unit) = 3.17
- density (g/cm3) = 8.61
- DFT formation energy (eV/atom) = -0.04
- DFT total energy (eV per formula unit) = -23.1
- calculated volume (Å³/f.u.) = 113